[1]
# NaCr3Rh (PBE, relaxed)
# V = 23.070 A^3/atom
# Formation energy = 1.0932 eV per atom
# Spin magnetization = 11.46 Bohr magnetons per cell
# DOS(E_F) = 7.8 states/eV/f.u.
data_NaCr3Rh
_space_group_name_H-M_alt 'P m -3 m'
_space_group_IT_number 221
_space_group_name_Hall '-P 4 2 3'
_cell_length_a 4.868
_cell_length_b 4.868
_cell_length_c 4.868
_cell_angle_alpha 90.00
_cell_angle_beta 90.00
_cell_angle_gamma 90.00
loop_
_atom_site_label
_atom_site_type_symbol
_atom_site_fract_x
_atom_site_fract_y
_atom_site_fract_z
Na1 Na 0.000 0.000 0.000
Cr1 Cr 0.000 0.500 0.500
Rh1 Rh 0.500 0.500 0.500

=====

[2]
# SrLi2Ac (PBE, relaxed)
# V = 35.273 A^3/atom
# Formation energy = 0.0760 eV per atom
# Spin magnetization = 0.00 Bohr magnetons per cell
# DOS(E_F) = 4.8 states/eV/f.u.
data_SrLi2Ac
_space_group_name_H-M_alt 'P 4/m m m'
_space_group_IT_number 123
_space_group_name_Hall '-P 4 2'
_cell_length_a 4.081
_cell_length_b 4.081
_cell_length_c 8.470
_cell_angle_alpha 90.00
_cell_angle_beta 90.00
_cell_angle_gamma 90.00
loop_
_atom_site_label
_atom_site_type_symbol
_atom_site_fract_x
_atom_site_fract_y
_atom_site_fract_z
Sr1 Sr 0.000 0.000 0.000
Li1 Li 0.500 0.500 0.259
Ac1 Ac 0.000 0.000 0.500

=====

[3]
# SrNdHg2 (PBE, relaxed)
# V = 30.128 A^3/atom
# Formation energy = -0.5030 eV per atom
# Spin magnetization = 0.00 Bohr magnetons per cell
# DOS(E_F) = 3.8 states/eV/f.u.
data_SrNdHg2
_space_group_name_H-M_alt 'P 4/m m m'
_space_group_IT_number 123
_space_group_name_Hall '-P 4 2'
_cell_length_a 3.916
_cell_length_b 3.916
_cell_length_c 7.858
_cell_angle_alpha 90.00
_cell_angle_beta 90.00
_cell_angle_gamma 90.00
loop_
_atom_site_label
_atom_site_type_symbol
_atom_site_fract_x
_atom_site_fract_y
_atom_site_fract_z
Sr1 Sr 0.000 0.000 0.000
Nd1 Nd 0.000 0.000 0.500
Hg1 Hg 0.500 0.500 0.271

=====

[4]
# CdPd2Se (PBE, relaxed)
# Electronic total energy = -3.877 eV/atom
# V = 17.805 A^3/atom
# Spin magnetization = 0.00 Bohr magnetons per cell
# DOS(E_F) = 2.0 states/eV/f.u.
data_CdPd2Se
_space_group_name_H-M_alt 'R 3 m'
_space_group_IT_number 160
_space_group_name_Hall 'R 3 -2"'
_cell_length_a 3.1611
_cell_length_b 3.1611
_cell_length_c 24.6897
_cell_angle_alpha 90.00
_cell_angle_beta 90.00
_cell_angle_gamma 120.00
loop_
_atom_site_label
_atom_site_type_symbol
_atom_site_fract_x
_atom_site_fract_y
_atom_site_fract_z
Cd1 Cd 0.0000 0.0000 0.0000
Pd1 Pd 0.0000 0.0000 0.5779
Pd2 Pd 0.0000 0.0000 0.7554
Se1 Se 0.0000 0.0000 0.1671

=====

[5]
# Cs4Ac3LaSe8 (PBE, relaxed)
# Electronic total energy = -4.840 eV/atom
# V = 38.707 A^3/atom
# Spin magnetization = 0.00 Bohr magnetons per cell
# DOS(E_F) = 0.0 states/eV/f.u.
data_Cs4Ac3LaSe8
_space_group_name_H-M_alt 'R -3 m'
_space_group_IT_number 166
_space_group_name_Hall '-R 3 2"'
_cell_length_a 9.2155
_cell_length_b 9.2155
_cell_length_c 25.2612
_cell_angle_alpha 90.00
_cell_angle_beta 90.00
_cell_angle_gamma 120.00
loop_
_atom_site_label
_atom_site_type_symbol
_atom_site_fract_x
_atom_site_fract_y
_atom_site_fract_z
Cs1 Cs 0.0000 0.0000 0.0000
Cs2 Cs 0.0000 0.5000 0.0000
Ac1 Ac 0.0000 0.5000 0.5000
La1 La 0.0000 0.0000 0.5000
Se1 Se 0.0000 0.0000 0.2325
Se2 Se 0.0066 0.5033 0.2312

=====

[6]
# K12Rb6Na (PBE, relaxed)
# V = 77.093 A^3/atom
# Formation energy = 0.0261 eV per atom
# Spin magnetization = 0.00 Bohr magnetons per cell
# DOS(E_F) = 17.2 states/eV/f.u.
data_K12Rb6Na
_space_group_name_H-M_alt 'R -3'
_space_group_IT_number 148
_space_group_name_Hall '-R 3'
_cell_length_a 16.3382
_cell_length_b 16.3382
_cell_length_c 19.0085
_cell_angle_alpha 90.00
_cell_angle_beta 90.00
_cell_angle_gamma 120.00
loop_
_atom_site_label
_atom_site_type_symbol
_atom_site_fract_x
_atom_site_fract_y
_atom_site_fract_z
K1 K 0.0422 0.8645 0.3123
K2 K 0.0659 0.2010 0.9059
Rb1 Rb 0.0335 0.5950 0.2114
Na1 Na 0.0000 0.0000 0.5000

=====

[7]
# Ac3Cd2Ir3 (PBE, relaxed)
# V = 25.964 A^3/atom
# Formation energy = -0.3707 eV per atom
# Spin magnetization = 0.00 Bohr magnetons per cell
# DOS(E_F) = 4.4 states/eV/f.u.
data_Ac3Cd2Ir3
_space_group_name_H-M_alt 'P 63/m c m'
_space_group_IT_number 193
_space_group_name_Hall '-P 6c 2'
_cell_length_a 8.8795
_cell_length_b 8.8795
_cell_length_c 6.0839
_cell_angle_alpha 90.00
_cell_angle_beta 90.00
_cell_angle_gamma 120.00
loop_
_atom_site_label
_atom_site_type_symbol
_atom_site_fract_x
_atom_site_fract_y
_atom_site_fract_z
Ac1 Ac 0.0000 0.2884 0.2500
Cd1 Cd 0.3333 0.6667 0.0000
Ir1 Ir 0.0000 0.3791 0.7500

=====

[8]
# Zr2InMo (PBE, relaxed)
# V = 20.595 A^3/atom
# Formation energy = -0.0700 eV per atom
# Spin magnetization = 0.00 Bohr magnetons per cell
# DOS(E_F) = 2.9 states/eV/f.u.
data_Zr2InMo
_space_group_name_H-M_alt 'P 1 2/m 1'
_space_group_IT_number 10
_cell_length_a 3.055
_cell_length_b 4.452
_cell_length_c 6.177
_cell_angle_alpha 90.00
_cell_angle_beta 101.25
_cell_angle_gamma 90.00
loop_
_space_group_symop_operation_xyz
'x,y,z'
'-x,-y,-z'
'-x,y,-z'
'x,-y,z'
loop_
_atom_site_label
_atom_site_type_symbol
_atom_site_fract_x
_atom_site_fract_y
_atom_site_fract_z
Zr1 Zr 0.120 0.000 0.269
In1 In 0.500 0.500 0.000
Mo1 Mo 0.500 0.500 0.500

=====

[9]
# YZr2Hg (PBE, relaxed)
# V = 24.273 A^3/atom
# Formation energy = -0.0176 eV per atom
# Spin magnetization = 0.00 Bohr magnetons per cell
# DOS(E_F) = 4.5 states/eV/f.u.
data_YZr2Hg
_space_group_name_H-M_alt 'P 4/m m m'
_space_group_IT_number 123
_space_group_name_Hall '-P 4 2'
_cell_length_a 3.309
_cell_length_b 3.309
_cell_length_c 8.869
_cell_angle_alpha 90.00
_cell_angle_beta 90.00
_cell_angle_gamma 90.00
loop_
_atom_site_label
_atom_site_type_symbol
_atom_site_fract_x
_atom_site_fract_y
_atom_site_fract_z
Y1 Y 0.000 0.000 0.000
Zr1 Zr 0.500 0.500 0.269
Hg1 Hg 0.000 0.000 0.500

=====

[10]
# GaTc2IrCl (PBE, relaxed)
# Electronic total energy = -5.227 eV/atom
# V = 22.150 A^3/atom
# Spin magnetization = 7.40 Bohr magnetons per cell
# DOS(E_F) = 5.0 states/eV/f.u.
data_GaTc2IrCl
_space_group_name_H-M_alt 'P 4/m m m'
_space_group_IT_number 123
_space_group_name_Hall '-P 4 2'
_cell_length_a 4.926
_cell_length_b 4.926
_cell_length_c 4.564
_cell_angle_alpha 90.00
_cell_angle_beta 90.00
_cell_angle_gamma 90.00
loop_
_atom_site_label
_atom_site_type_symbol
_atom_site_fract_x
_atom_site_fract_y
_atom_site_fract_z
Ga1 Ga 0.000 0.000 0.000
Tc1 Tc 0.000 0.500 0.000
Ir1 Ir 0.000 0.000 0.500
Cl1 Cl 0.500 0.500 0.500

=====

[11]
# Na3Cd5Ga2 (PBE, relaxed)
# V = 25.770 A^3/atom
# Formation energy = -0.0046 eV per atom
# Spin magnetization = 0.00 Bohr magnetons per cell
# DOS(E_F) = 4.6 states/eV/f.u.
data_Na3Cd5Ga2
_space_group_name_H-M_alt 'I b a m'
_space_group_IT_number 72
_space_group_name_Hall '-I 2 2c'
_cell_length_a 12.420
_cell_length_b 13.239
_cell_length_c 6.269
_cell_angle_alpha 90.00
_cell_angle_beta 90.00
_cell_angle_gamma 90.00
loop_
_atom_site_label
_atom_site_type_symbol
_atom_site_fract_x
_atom_site_fract_y
_atom_site_fract_z
Na1 Na 0.000 0.000 0.250
Na2 Na 0.116 0.241 0.000
Cd1 Cd 0.000 0.500 0.250
Cd2 Cd 0.128 0.346 0.500
Cd3 Cd 0.249 0.500 0.250
Ga1 Ga 0.151 0.147 0.500

=====

[12]
# ScRu2 (PBE, relaxed)
# V = 17.039 A^3/atom
# Formation energy = -0.1091 eV per atom
# Spin magnetization = 0.00 Bohr magnetons per cell
# DOS(E_F) = 3.4 states/eV/f.u.
data_ScRu2
_space_group_name_H-M_alt 'P 63/m m c'
_space_group_IT_number 194
_space_group_name_Hall '-P 6c 2c'
_cell_length_a 4.2393
_cell_length_b 4.2393
_cell_length_c 6.5686
_cell_angle_alpha 90.00
_cell_angle_beta 90.00
_cell_angle_gamma 120.00
loop_
_atom_site_label
_atom_site_type_symbol
_atom_site_fract_x
_atom_site_fract_y
_atom_site_fract_z
Sc1 Sc 0.0000 0.0000 0.2500
Ru1 Ru 0.3333 0.6667 0.0471